# 1
KSc2In | GGA-PBEsol | optimized geometry

Geometry as CIF:
```
data_KSc2In
_chemical_formula_sum 'K1 Sc2 In1'
_cell_length_a 6.747
_cell_length_b 6.747
_cell_length_c 6.747
_cell_angle_alpha 151.40
_cell_angle_beta 129.57
_cell_angle_gamma 59.01
_space_group_name_H-M_alt 'P 1'
_space_group_IT_number 1
loop_
_space_group_symop_operation_xyz
'x,y,z'
loop_
_atom_site_label
_atom_site_fract_x
_atom_site_fract_y
_atom_site_fract_z
K1 0.000 0.000 0.000
Sc1 0.286 0.786 0.500
Sc2 0.714 0.214 0.500
In1 0.500 0.500 0.000
```

DFT formation energy	0.76	eV per formula unit
SG	No. 71

=====

# 2
KSc4In | GGA-PBEsol | optimized geometry

Geometry as CIF:
```
data_KSc4In
_chemical_formula_sum 'K1 Sc4 In1'
_cell_length_a 6.075
_cell_length_b 6.075
_cell_length_c 6.075
_cell_angle_alpha 60.00
_cell_angle_beta 60.00
_cell_angle_gamma 60.00
_space_group_name_H-M_alt 'P 1'
_space_group_IT_number 1
loop_
_space_group_symop_operation_xyz
'x,y,z'
loop_
_atom_site_label
_atom_site_fract_x
_atom_site_fract_y
_atom_site_fract_z
K1 0.000 0.000 0.000
Sc1 0.377 0.377 0.377
Sc2 0.377 0.377 0.868
Sc3 0.377 0.868 0.377
Sc4 0.868 0.377 0.377
In1 0.750 0.750 0.750
```

DFT formation energy	2.17	eV per formula unit
SG	No. 216

=====

# 3
KSc2In | GGA-PBEsol | optimized geometry

Geometry as CIF:
```
data_KSc2In
_chemical_formula_sum 'K1 Sc2 In1'
_cell_length_a 5.315
_cell_length_b 5.315
_cell_length_c 5.315
_cell_angle_alpha 60.00
_cell_angle_beta 60.00
_cell_angle_gamma 60.00
_space_group_name_H-M_alt 'P 1'
_space_group_IT_number 1
loop_
_space_group_symop_operation_xyz
'x,y,z'
loop_
_atom_site_label
_atom_site_fract_x
_atom_site_fract_y
_atom_site_fract_z
K1 0.000 0.000 0.000
Sc1 0.250 0.250 0.250
Sc2 0.500 0.500 0.500
In1 0.750 0.750 0.750
```

DFT formation energy	1.43	eV per formula unit
SG	No. 216

=====

# 4
K2ScIn | GGA-PBEsol | optimized geometry

Geometry as CIF:
```
data_K2ScIn
_chemical_formula_sum 'K2 Sc1 In1'
_cell_length_a 6.951
_cell_length_b 6.951
_cell_length_c 6.951
_cell_angle_alpha 141.71
_cell_angle_beta 141.71
_cell_angle_gamma 55.27
_space_group_name_H-M_alt 'P 1'
_space_group_IT_number 1
loop_
_space_group_symop_operation_xyz
'x,y,z'
loop_
_atom_site_label
_atom_site_fract_x
_atom_site_fract_y
_atom_site_fract_z
K1 0.250 0.750 0.500
K2 0.750 0.250 0.500
Sc1 0.000 0.000 0.000
In1 0.500 0.500 0.000
```

DFT formation energy	1.28	eV per formula unit
SG	No. 139

=====

# 5
K2Sc2In | GGA-PBEsol | optimized geometry

Geometry as CIF:
```
data_K2Sc2In
_chemical_formula_sum 'K2 Sc2 In1'
_cell_length_a 11.857
_cell_length_b 11.857
_cell_length_c 11.857
_cell_angle_alpha 160.53
_cell_angle_beta 160.53
_cell_angle_gamma 27.68
_space_group_name_H-M_alt 'P 1'
_space_group_IT_number 1
loop_
_space_group_symop_operation_xyz
'x,y,z'
loop_
_atom_site_label
_atom_site_fract_x
_atom_site_fract_y
_atom_site_fract_z
K1 0.103 0.103 0.000
K2 0.897 0.897 0.000
Sc1 0.250 0.750 0.500
Sc2 0.750 0.250 0.500
In1 0.500 0.500 0.000
```

DFT formation energy	2.63	eV per formula unit
SG	No. 139

=====

# 6
KSc2TlIn | GGA-PBEsol | optimized geometry

Geometry as CIF:
```
data_KSc2TlIn
_chemical_formula_sum 'K1 Sc2 Tl1 In1'
_cell_length_a 5.506
_cell_length_b 5.506
_cell_length_c 5.616
_cell_angle_alpha 90.00
_cell_angle_beta 90.00
_cell_angle_gamma 90.00
_space_group_name_H-M_alt 'P 1'
_space_group_IT_number 1
loop_
_space_group_symop_operation_xyz
'x,y,z'
loop_
_atom_site_label
_atom_site_fract_x
_atom_site_fract_y
_atom_site_fract_z
K1 0.000 0.000 0.000
Sc1 0.000 0.500 0.500
Sc2 0.500 0.000 0.500
Tl1 0.500 0.500 0.500
In1 0.500 0.500 0.000
```

DFT formation energy	2.44	eV per formula unit
SG	No. 123

=====

# 7
KInSe2 | GGA-PBEsol | optimized geometry

Geometry as CIF:
```
data_KInSe2
_chemical_formula_sum 'K8 In8 Se16'
_cell_length_a 8.062
_cell_length_b 8.062
_cell_length_c 15.648
_cell_angle_alpha 97.38
_cell_angle_beta 97.38
_cell_angle_gamma 90.00
_space_group_name_H-M_alt 'P 1'
_space_group_IT_number 1
loop_
_space_group_symop_operation_xyz
'x,y,z'
loop_
_atom_site_label
_atom_site_fract_x
_atom_site_fract_y
_atom_site_fract_z
K1 0.153 0.780 0.613
K2 0.220 0.344 0.879
K3 0.220 0.847 0.887
K4 0.344 0.220 0.379
K5 0.656 0.780 0.621
K6 0.780 0.153 0.113
K7 0.780 0.656 0.121
K8 0.847 0.220 0.387
In1 0.087 0.711 0.344
In2 0.289 0.415 0.157
In3 0.289 0.913 0.156
In4 0.415 0.289 0.657
In5 0.585 0.711 0.343
In6 0.711 0.087 0.844
In7 0.711 0.585 0.843
In8 0.913 0.289 0.656
Se1 0.046 0.422 0.250
Se2 0.046 0.954 0.250
Se3 0.139 0.261 0.552
Se4 0.261 0.139 0.052
Se5 0.264 0.637 0.052
Se6 0.363 0.736 0.448
Se7 0.421 0.579 0.750
Se8 0.422 0.046 0.750
Se9 0.578 0.954 0.250
Se10 0.579 0.421 0.250
Se11 0.637 0.264 0.552
Se12 0.736 0.363 0.948
Se13 0.739 0.861 0.948
Se14 0.861 0.739 0.448
Se15 0.954 0.046 0.750
Se16 0.954 0.578 0.750
```

E_form (uncorrected)	-0.880	eV/atom
SG	No. 15

=====

# 8
K2InSe | GGA-PBEsol | optimized geometry

Geometry as CIF:
```
data_K2InSe
_chemical_formula_sum 'K2 In1 Se1'
_cell_length_a 4.243
_cell_length_b 4.243
_cell_length_c 6.751
_cell_angle_alpha 90.00
_cell_angle_beta 90.10
_cell_angle_gamma 90.00
_space_group_name_H-M_alt 'P 1'
_space_group_IT_number 1
loop_
_space_group_symop_operation_xyz
'x,y,z'
loop_
_atom_site_label
_atom_site_fract_x
_atom_site_fract_y
_atom_site_fract_z
K1 0.001 0.000 0.286
K2 0.999 0.000 0.714
In1 0.500 0.500 0.000
Se1 0.500 0.500 0.500
```

E_form (uncorrected)	-0.475	eV/atom
SG	No. 10

=====

# 9
KInSe2 | GGA-PBEsol | optimized geometry

Geometry as CIF:
```
data_KInSe2
_chemical_formula_sum 'K1 In1 Se2'
_cell_length_a 4.996
_cell_length_b 4.996
_cell_length_c 3.823
_cell_angle_alpha 90.00
_cell_angle_beta 90.00
_cell_angle_gamma 90.00
_space_group_name_H-M_alt 'P 1'
_space_group_IT_number 1
loop_
_space_group_symop_operation_xyz
'x,y,z'
loop_
_atom_site_label
_atom_site_fract_x
_atom_site_fract_y
_atom_site_fract_z
K1 0.000 0.000 0.000
In1 0.500 0.500 0.000
Se1 0.000 0.500 0.500
Se2 0.500 0.000 0.500
```

E_form (uncorrected)	-0.405	eV/atom
SG	No. 123

=====

# 10
KInSe2 | GGA-PBEsol | optimized geometry

Geometry as CIF:
```
data_KInSe2
_chemical_formula_sum 'K2 In2 Se4'
_cell_length_a 6.959
_cell_length_b 6.959
_cell_length_c 6.959
_cell_angle_alpha 114.69
_cell_angle_beta 114.69
_cell_angle_gamma 99.48
_space_group_name_H-M_alt 'P 1'
_space_group_IT_number 1
loop_
_space_group_symop_operation_xyz
'x,y,z'
loop_
_atom_site_label
_atom_site_fract_x
_atom_site_fract_y
_atom_site_fract_z
K1 0.000 0.000 0.000
K2 0.750 0.250 0.500
In1 0.250 0.750 0.500
In2 0.500 0.500 0.000
Se1 0.192 0.625 0.067
Se2 0.375 0.442 0.567
Se3 0.558 0.125 0.933
Se4 0.875 0.808 0.433
```

E_form (uncorrected)	-0.847	eV/atom
SG	No. 122

=====

# 11
K2In12Se19 | GGA-PBEsol | optimized geometry

Geometry as CIF:
```
data_K2In12Se19
_chemical_formula_sum 'K2 In12 Se19'
_cell_length_a 9.854
_cell_length_b 9.854
_cell_length_c 9.854
_cell_angle_alpha 89.12
_cell_angle_beta 89.12
_cell_angle_gamma 89.12
_space_group_name_H-M_alt 'P 1'
_space_group_IT_number 1
loop_
_space_group_symop_operation_xyz
'x,y,z'
loop_
_atom_site_label
_atom_site_fract_x
_atom_site_fract_y
_atom_site_fract_z
K1 0.162 0.162 0.162
K2 0.838 0.838 0.838
In1 0.117 0.698 0.225
In2 0.190 0.516 0.567
In3 0.225 0.117 0.698
In4 0.302 0.775 0.883
In5 0.433 0.810 0.484
In6 0.484 0.433 0.810
In7 0.516 0.567 0.190
In8 0.567 0.190 0.516
In9 0.698 0.225 0.117
In10 0.775 0.883 0.302
In11 0.810 0.484 0.433
In12 0.883 0.302 0.775
Se1 0.028 0.909 0.347
Se2 0.091 0.653 0.972
Se3 0.096 0.456 0.337
Se4 0.215 0.771 0.627
Se5 0.229 0.373 0.785
Se6 0.337 0.096 0.456
Se7 0.347 0.028 0.909
Se8 0.373 0.785 0.229
Se9 0.456 0.337 0.096
Se10 0.500 0.500 0.500
Se11 0.544 0.663 0.904
Se12 0.627 0.215 0.771
Se13 0.653 0.972 0.091
Se14 0.663 0.904 0.544
Se15 0.771 0.627 0.215
Se16 0.785 0.229 0.373
Se17 0.904 0.544 0.663
Se18 0.909 0.347 0.028
Se19 0.972 0.091 0.653
```

E_form (uncorrected)	-0.570	eV/atom
SG	No. 148

=====

# 12
K3InSe | GGA-PBEsol | optimized geometry

Geometry as CIF:
```
data_K3InSe
_chemical_formula_sum 'K3 In1 Se1'
_cell_length_a 6.185
_cell_length_b 6.185
_cell_length_c 6.185
_cell_angle_alpha 90.00
_cell_angle_beta 90.00
_cell_angle_gamma 90.00
_space_group_name_H-M_alt 'P 1'
_space_group_IT_number 1
loop_
_space_group_symop_operation_xyz
'x,y,z'
loop_
_atom_site_label
_atom_site_fract_x
_atom_site_fract_y
_atom_site_fract_z
K1 0.000 0.000 0.500
K2 0.000 0.500 0.000
K3 0.500 0.000 0.000
In1 0.500 0.500 0.500
Se1 0.000 0.000 0.000
```

E_form (uncorrected)	-0.346	eV/atom
SG	No. 221

=====

# 13
KIn2Si | GGA-PBEsol | optimized geometry

Geometry as CIF:
```
data_KIn2Si
_chemical_formula_sum 'K1 In2 Si1'
_cell_length_a 5.852
_cell_length_b 5.852
_cell_length_c 5.852
_cell_angle_alpha 138.76
_cell_angle_beta 119.71
_cell_angle_gamma 75.67
_space_group_name_H-M_alt 'P 1'
_space_group_IT_number 1
loop_
_space_group_symop_operation_xyz
'x,y,z'
loop_
_atom_site_label
_atom_site_fract_x
_atom_site_fract_y
_atom_site_fract_z
K1 0.000 0.000 0.000
In1 0.305 0.805 0.500
In2 0.695 0.195 0.500
Si1 0.500 0.500 0.000
```

E_form (uncorrected)	0.201	eV/atom
SG	No. 71

=====

# 14
KIn2Si | GGA-PBEsol | optimized geometry

Geometry as CIF:
```
data_KIn2Si
_chemical_formula_sum 'K1 In2 Si1'
_cell_length_a 3.192
_cell_length_b 4.831
_cell_length_c 7.208
_cell_angle_alpha 90.00
_cell_angle_beta 102.58
_cell_angle_gamma 90.00
_space_group_name_H-M_alt 'P 1'
_space_group_IT_number 1
loop_
_space_group_symop_operation_xyz
'x,y,z'
loop_
_atom_site_label
_atom_site_fract_x
_atom_site_fract_y
_atom_site_fract_z
K1 0.000 0.000 0.000
In1 0.324 0.500 0.659
In2 0.720 0.000 0.468
Si1 0.650 0.500 0.295
```

E_form (uncorrected)	0.122	eV/atom
SG	No. 6

=====

# 15
KInSi | GGA-PBEsol | optimized geometry

Geometry as CIF:
```
data_KInSi
_chemical_formula_sum 'K1 In1 Si1'
_cell_length_a 4.428
_cell_length_b 4.428
_cell_length_c 5.398
_cell_angle_alpha 90.00
_cell_angle_beta 90.00
_cell_angle_gamma 120.00
_space_group_name_H-M_alt 'P 1'
_space_group_IT_number 1
loop_
_space_group_symop_operation_xyz
'x,y,z'
loop_
_atom_site_label
_atom_site_fract_x
_atom_site_fract_y
_atom_site_fract_z
K1 0.000 0.000 0.000
In1 0.667 0.333 0.500
Si1 0.333 0.667 0.500
```

E_form (uncorrected)	-0.011	eV/atom
SG	No. 187

=====

# 16
KIn2Si | GGA-PBEsol | optimized geometry

Geometry as CIF:
```
data_KIn2Si
_chemical_formula_sum 'K1 In2 Si1'
_cell_length_a 5.534
_cell_length_b 5.534
_cell_length_c 5.534
_cell_angle_alpha 129.33
_cell_angle_beta 129.33
_cell_angle_gamma 74.47
_space_group_name_H-M_alt 'P 1'
_space_group_IT_number 1
loop_
_space_group_symop_operation_xyz
'x,y,z'
loop_
_atom_site_label
_atom_site_fract_x
_atom_site_fract_y
_atom_site_fract_z
K1 0.000 0.000 0.000
In1 0.250 0.750 0.500
In2 0.750 0.250 0.500
Si1 0.500 0.500 0.000
```

E_form (uncorrected)	0.243	eV/atom
SG	No. 139

=====

# 17
KInSn | GGA-PBEsol | optimized geometry

Geometry as CIF:
```
data_KInSn
_chemical_formula_sum 'K4 In4 Sn4'
_cell_length_a 8.606
_cell_length_b 5.079
_cell_length_c 8.309
_cell_angle_alpha 90.00
_cell_angle_beta 90.00
_cell_angle_gamma 90.00
_space_group_name_H-M_alt 'P 1'
_space_group_IT_number 1
loop_
_space_group_symop_operation_xyz
'x,y,z'
loop_
_atom_site_label
_atom_site_fract_x
_atom_site_fract_y
_atom_site_fract_z
K1 0.001 0.250 0.178
K2 0.499 0.750 0.678
K3 0.501 0.250 0.322
K4 0.999 0.750 0.822
In1 0.166 0.750 0.410
In2 0.334 0.250 0.910
In3 0.666 0.750 0.090
In4 0.834 0.250 0.590
Sn1 0.177 0.250 0.596
Sn2 0.323 0.750 0.096
Sn3 0.677 0.250 0.904
Sn4 0.823 0.750 0.404
```

DFT formation energy	-0.78	eV per formula unit
SG	No. 62

=====

# 18
K2InSn | GGA-PBEsol | optimized geometry

Geometry as CIF:
```
data_K2InSn
_chemical_formula_sum 'K2 In1 Sn1'
_cell_length_a 5.757
_cell_length_b 5.757
_cell_length_c 5.757
_cell_angle_alpha 60.00
_cell_angle_beta 60.00
_cell_angle_gamma 60.00
_space_group_name_H-M_alt 'P 1'
_space_group_IT_number 1
loop_
_space_group_symop_operation_xyz
'x,y,z'
loop_
_atom_site_label
_atom_site_fract_x
_atom_site_fract_y
_atom_site_fract_z
K1 0.250 0.250 0.250
K2 0.750 0.750 0.750
In1 0.000 0.000 0.000
Sn1 0.500 0.500 0.500
```

DFT formation energy	0.29	eV per formula unit
SG	No. 225

=====

# 19
KSr2In | GGA-PBEsol | optimized geometry

Geometry as CIF:
```
data_KSr2In
_chemical_formula_sum 'K1 Sr2 In1'
_cell_length_a 4.037
_cell_length_b 4.037
_cell_length_c 11.014
_cell_angle_alpha 90.00
_cell_angle_beta 90.00
_cell_angle_gamma 90.00
_space_group_name_H-M_alt 'P 1'
_space_group_IT_number 1
loop_
_space_group_symop_operation_xyz
'x,y,z'
loop_
_atom_site_label
_atom_site_fract_x
_atom_site_fract_y
_atom_site_fract_z
K1 0.000 0.000 0.000
Sr1 0.500 0.500 0.325
Sr2 0.500 0.500 0.675
In1 0.000 0.000 0.500
```

DFT formation energy	-0.79	eV per formula unit
SG	No. 123

=====

# 20
K2SrIn7 | GGA-PBEsol | optimized geometry

Geometry as CIF:
```
data_K2SrIn7
_chemical_formula_sum 'K4 Sr2 In14'
_cell_length_a 6.421
_cell_length_b 6.421
_cell_length_c 19.601
_cell_angle_alpha 90.00
_cell_angle_beta 90.00
_cell_angle_gamma 134.27
_space_group_name_H-M_alt 'P 1'
_space_group_IT_number 1
loop_
_space_group_symop_operation_xyz
'x,y,z'
loop_
_atom_site_label
_atom_site_fract_x
_atom_site_fract_y
_atom_site_fract_z
K1 0.161 0.839 0.552
K2 0.161 0.839 0.948
K3 0.839 0.161 0.052
K4 0.839 0.161 0.448
Sr1 0.341 0.659 0.750
Sr2 0.659 0.341 0.250
In1 0.045 0.955 0.750
In2 0.122 0.878 0.130
In3 0.122 0.878 0.370
In4 0.360 0.640 0.175
In5 0.360 0.640 0.325
In6 0.458 0.542 0.571
In7 0.458 0.542 0.929
In8 0.542 0.458 0.071
In9 0.542 0.458 0.429
In10 0.640 0.360 0.675
In11 0.640 0.360 0.825
In12 0.878 0.122 0.630
In13 0.878 0.122 0.870
In14 0.955 0.045 0.250
```

DFT formation energy	-2.76	eV per formula unit
SG	No. 63